# GGA-PBE TiCo2Cl2, relaxed
# Raw formation energy (eV per atom): 0.323
# Distance to the lowest polymorph of the same formula (meV per atom): 389.6
data_TiCo2Cl2
_cell_length_a 6.693
_cell_length_b 6.693
_cell_length_c 3.073
_cell_angle_alpha 90.00
_cell_angle_beta 90.00
_cell_angle_gamma 90.00
_symmetry_space_group_name_H-M 'P 4/m b m'
_symmetry_Int_Tables_number 127
_symmetry_space_group_name_Hall '-P 4 2ab'
loop_
_atom_site_label
_atom_site_type_symbol
_atom_site_fract_x
_atom_site_fract_y
_atom_site_fract_z
_atom_site_occupancy
Ti1 Ti 0.000 0.000 0.000 1
Co1 Co 0.140 0.360 0.500 1
Cl1 Cl 0.175 0.675 0.000 1

***

# GGA-PBE Ti2CoCl, relaxed
# Raw formation energy (eV per atom): -0.015
# Distance to the lowest polymorph of the same formula (meV per atom): 0.0
data_Ti2CoCl
_cell_length_a 6.335
_cell_length_b 6.335
_cell_length_c 6.415
_cell_angle_alpha 90.00
_cell_angle_beta 90.00
_cell_angle_gamma 90.00
_symmetry_space_group_name_H-M 'I -4 2 d'
_symmetry_Int_Tables_number 122
_symmetry_space_group_name_Hall 'I -4 2bw'
loop_
_atom_site_label
_atom_site_type_symbol
_atom_site_fract_x
_atom_site_fract_y
_atom_site_fract_z
_atom_site_occupancy
Ti1 Ti 0.242 0.750 0.125 1
Co1 Co 0.000 0.000 0.000 1
Cl1 Cl 0.000 0.000 0.500 1

***

# GGA-PBE Ti2Co2Cl, relaxed
# Raw formation energy (eV per atom): -0.132
# Distance to the lowest polymorph of the same formula (meV per atom): 49.1
data_Ti2Co2Cl
_cell_length_a 6.940
_cell_length_b 6.940
_cell_length_c 3.017
_cell_angle_alpha 90.00
_cell_angle_beta 90.00
_cell_angle_gamma 90.00
_symmetry_space_group_name_H-M 'P 4/m b m'
_symmetry_Int_Tables_number 127
_symmetry_space_group_name_Hall '-P 4 2ab'
loop_
_atom_site_label
_atom_site_type_symbol
_atom_site_fract_x
_atom_site_fract_y
_atom_site_fract_z
_atom_site_occupancy
Ti1 Ti 0.160 0.340 0.000 1
Co1 Co 0.127 0.627 0.500 1
Cl1 Cl 0.000 0.000 0.000 1

***

# GGA-PBE Ti2CoCl, relaxed
# Raw formation energy (eV per atom): 0.058
# Distance to the lowest polymorph of the same formula (meV per atom): 73.2
data_Ti2CoCl
_cell_length_a 6.130
_cell_length_b 6.130
_cell_length_c 6.130
_cell_angle_alpha 90.00
_cell_angle_beta 90.00
_cell_angle_gamma 90.00
_symmetry_space_group_name_H-M 'F m -3 m'
_symmetry_Int_Tables_number 225
_symmetry_space_group_name_Hall '-F 4 2 3'
loop_
_atom_site_label
_atom_site_type_symbol
_atom_site_fract_x
_atom_site_fract_y
_atom_site_fract_z
_atom_site_occupancy
Ti1 Ti 0.250 0.250 0.250 1
Co1 Co 0.000 0.000 0.000 1
Cl1 Cl 0.000 0.000 0.500 1

***

# GGA-PBE Ti2Co2Cl, relaxed
# Raw formation energy (eV per atom): -0.181
# Distance to the lowest polymorph of the same formula (meV per atom): 0.0
data_Ti2Co2Cl
_cell_length_a 3.386
_cell_length_b 3.386
_cell_length_c 14.324
_cell_angle_alpha 90.00
_cell_angle_beta 90.00
_cell_angle_gamma 90.00
_symmetry_space_group_name_H-M 'I 4/m m m'
_symmetry_Int_Tables_number 139
_symmetry_space_group_name_Hall '-I 4 2'
loop_
_atom_site_label
_atom_site_type_symbol
_atom_site_fract_x
_atom_site_fract_y
_atom_site_fract_z
_atom_site_occupancy
Ti1 Ti 0.000 0.000 0.134 1
Co1 Co 0.000 0.500 0.250 1
Cl1 Cl 0.000 0.000 0.500 1

***

# GGA-PBE Tl3Co2Cl8, relaxed
# Raw formation energy (eV per atom): -0.790
data_Tl3Co2Cl8
_cell_length_a 7.1394
_cell_length_b 7.1394
_cell_length_c 26.5171
_cell_angle_alpha 90.00
_cell_angle_beta 90.00
_cell_angle_gamma 120.00
_symmetry_space_group_name_H-M 'R -3 m'
_symmetry_Int_Tables_number 166
_symmetry_space_group_name_Hall '-R 3 2"'
loop_
_atom_site_label
_atom_site_type_symbol
_atom_site_fract_x
_atom_site_fract_y
_atom_site_fract_z
_atom_site_occupancy
Tl1 Tl 0.0000 0.0000 0.0000 1
Tl2 Tl 0.0000 0.0000 0.2068 1
Co1 Co 0.0000 0.0000 0.4065 1
Cl1 Cl 0.0000 0.0000 0.3235 1
Cl2 Cl 0.0032 0.5016 0.7681 1

***

# GGA-PBE Tl2CoCl, relaxed
# Raw formation energy (eV per atom): 0.256
# Distance to the lowest polymorph of the same formula (meV per atom): 256.2
data_Tl2CoCl
_cell_length_a 6.216
_cell_length_b 6.216
_cell_length_c 13.720
_cell_angle_alpha 90.00
_cell_angle_beta 90.00
_cell_angle_gamma 90.00
_symmetry_space_group_name_H-M 'I -4 2 d'
_symmetry_Int_Tables_number 122
_symmetry_space_group_name_Hall 'I -4 2bw'
loop_
_atom_site_label
_atom_site_type_symbol
_atom_site_fract_x
_atom_site_fract_y
_atom_site_fract_z
_atom_site_occupancy
Tl1 Tl 0.178 0.250 0.125 1
Co1 Co 0.000 0.000 0.000 1
Cl1 Cl 0.000 0.000 0.500 1

***

# GGA-PBE TlCoCl6, relaxed
# Raw formation energy (eV per atom): -0.504
# Distance to the lowest polymorph of the same formula (meV per atom): 13.2
data_TlCoCl6
_cell_length_a 6.1827
_cell_length_b 6.1827
_cell_length_c 16.8043
_cell_angle_alpha 90.00
_cell_angle_beta 90.00
_cell_angle_gamma 120.00
_symmetry_space_group_name_H-M 'R -3'
_symmetry_Int_Tables_number 148
_symmetry_space_group_name_Hall '-R 3'
loop_
_atom_site_label
_atom_site_type_symbol
_atom_site_fract_x
_atom_site_fract_y
_atom_site_fract_z
_atom_site_occupancy
Tl1 Tl 0.0000 0.0000 0.0000 1
Co1 Co 0.0000 0.0000 0.5000 1
Cl1 Cl 0.0190 0.7094 0.4236 1

***

# GGA-PBE Tl2CoCl6, relaxed
# Raw formation energy (eV per atom): -0.662
data_Tl2CoCl6
_cell_length_a 6.604
_cell_length_b 6.604
_cell_length_c 12.026
_cell_angle_alpha 90.00
_cell_angle_beta 90.00
_cell_angle_gamma 90.00
_symmetry_space_group_name_H-M 'P 42/m n m'
_symmetry_Int_Tables_number 136
_symmetry_space_group_name_Hall '-P 4n 2n'
loop_
_atom_site_label
_atom_site_type_symbol
_atom_site_fract_x
_atom_site_fract_y
_atom_site_fract_z
_atom_site_occupancy
Tl1 Tl 0.000 0.000 0.157 1
Co1 Co 0.000 0.000 0.500 1
Cl1 Cl 0.171 0.171 0.366 1
Cl2 Cl 0.241 0.759 0.500 1

***

# GGA-PBE TlCo2Cl2, relaxed
# Raw formation energy (eV per atom): 0.063
data_TlCo2Cl2
_cell_length_a 3.425
_cell_length_b 3.425
_cell_length_c 18.212
_cell_angle_alpha 90.00
_cell_angle_beta 90.00
_cell_angle_gamma 90.00
_symmetry_space_group_name_H-M 'I 4/m m m'
_symmetry_Int_Tables_number 139
_symmetry_space_group_name_Hall '-I 4 2'
loop_
_atom_site_label
_atom_site_type_symbol
_atom_site_fract_x
_atom_site_fract_y
_atom_site_fract_z
_atom_site_occupancy
Tl1 Tl 0.000 0.000 0.000 1
Co1 Co 0.000 0.500 0.250 1
Cl1 Cl 0.000 0.000 0.347 1

***

# GGA-PBE Tl2Co3Cl9, relaxed
# Raw formation energy (eV per atom): -0.611
data_Tl2Co3Cl9
_cell_length_a 10.723
_cell_length_b 17.006
_cell_length_c 9.817
_cell_angle_alpha 90.00
_cell_angle_beta 116.45
_cell_angle_gamma 90.00
_symmetry_space_group_name_H-M 'C 1 2/m 1'
_symmetry_Int_Tables_number 12
loop_
_symmetry_equiv_pos_as_xyz
'x,y,z'
'-x,-y,-z'
'-x,y,-z'
'x,-y,z'
'x+1/2,y+1/2,z'
'-x+1/2,-y+1/2,-z'
'-x+1/2,y+1/2,-z'
'x+1/2,-y+1/2,z'
loop_
_atom_site_label
_atom_site_type_symbol
_atom_site_fract_x
_atom_site_fract_y
_atom_site_fract_z
_atom_site_occupancy
Tl1 Tl 0.087 0.166 0.298 1
Co1 Co 0.136 0.500 0.812 1
Co2 Co 0.175 0.388 0.176 1
Cl1 Cl 0.000 0.305 0.000 1
Cl2 Cl 0.017 0.400 0.298 1
Cl3 Cl 0.186 0.205 0.653 1
Cl4 Cl 0.215 0.000 0.682 1
Cl5 Cl 0.221 0.097 0.981 1
Cl6 Cl 0.222 0.000 0.300 1

***

# GGA-PBE TlCo4Cl8, relaxed
# Raw formation energy (eV per atom): -0.552
data_TlCo4Cl8
_cell_length_a 6.4312
_cell_length_b 6.4312
_cell_length_c 9.8130
_cell_angle_alpha 90.00
_cell_angle_beta 90.00
_cell_angle_gamma 120.00
_symmetry_space_group_name_H-M 'P -3 1 m'
_symmetry_Int_Tables_number 162
_symmetry_space_group_name_Hall '-P 3 2'
loop_
_atom_site_label
_atom_site_type_symbol
_atom_site_fract_x
_atom_site_fract_y
_atom_site_fract_z
_atom_site_occupancy
Tl1 Tl 0.0000 0.0000 0.0000 1
Co1 Co 0.3333 0.6667 0.2335 1
Cl1 Cl 0.0000 0.3362 0.6927 1
Cl2 Cl 0.3333 0.6667 0.0000 1

***

The records above yield Fermi-level density of states values of 1.091, 0.880, 1.277, 2.065, 1.215, 1.100, 0.745, 0.057, 0.924, 1.319, 0.955, 0.423 states/eV per atom, respectively.